Entry from Alexandria: a geometry-optimized Ce2ErMn structure (PBE).

```
data_Ce2ErMn
_chemical_formula_sum 'Ce2 Er1 Mn1'
_space_group_name_H-M_alt 'P 1'
_space_group_IT_number 1
_cell_length_a 3.3307
_cell_length_b 3.3307
_cell_length_c 8.7100
_cell_angle_alpha 90.00
_cell_angle_beta 90.00
_cell_angle_gamma 90.00
loop_
_space_group_symop_operation_xyz
'x,y,z'
loop_
_atom_site_label
_atom_site_type_symbol
_atom_site_fract_x
_atom_site_fract_y
_atom_site_fract_z
Ce1 Ce 0.0000 0.0000 0.1929
Ce2 Ce 0.0000 0.0000 0.8071
Er1 Er 0.5000 0.5000 0.5000
Mn1 Mn 0.5000 0.5000 0.0000
```

## Properties
* Fermi-level density of states: 10.41 states/eV per cell
* electronic total energy: -6.178 eV/atom
* energy relative to the elements: 0.22 eV per atom
* distance to the lowest polymorph of the same formula: 0.005 eV per atom

Entry from Alexandria: a geometry-optimized SrSn2Bi4 structure (PBE).

```
data_SrSn2Bi4
_chemical_formula_sum 'Sr1 Sn2 Bi4'
_space_group_name_H-M_alt 'P 1'
_space_group_IT_number 1
_cell_length_a 9.0418
_cell_length_b 9.0418
_cell_length_c 9.0418
_cell_angle_alpha 140.73
_cell_angle_beta 140.73
_cell_angle_gamma 56.75
loop_
_space_group_symop_operation_xyz
'x,y,z'
loop_
_atom_site_label
_atom_site_type_symbol
_atom_site_fract_x
_atom_site_fract_y
_atom_site_fract_z
Sr1 Sr 0.0000 0.0000 0.0000
Sn1 Sn 0.4021 0.4021 0.0000
Sn2 Sn 0.5979 0.5979 0.0000
Bi1 Bi 0.0000 0.5000 0.5000
Bi2 Bi 0.2187 0.2187 0.0000
Bi3 Bi 0.5000 0.0000 0.5000
Bi4 Bi 0.7813 0.7813 0.0000
```

## Properties
* Fermi-level density of states: 6.70 states/eV per cell
* electronic total energy: -3.209 eV/atom
* energy relative to the elements: 0.39 eV per atom

Entry from Alexandria: a geometry-optimized Dy2GaCo structure (PBE).

```
data_Dy2GaCo
_chemical_formula_sum 'Dy2 Ga1 Co1'
_space_group_name_H-M_alt 'P 1'
_space_group_IT_number 1
_cell_length_a 9.4593
_cell_length_b 9.4593
_cell_length_c 9.4593
_cell_angle_alpha 22.58
_cell_angle_beta 22.58
_cell_angle_gamma 22.58
loop_
_space_group_symop_operation_xyz
'x,y,z'
loop_
_atom_site_label
_atom_site_type_symbol
_atom_site_fract_x
_atom_site_fract_y
_atom_site_fract_z
Dy1 Dy 0.1117 0.1117 0.1117
Dy2 Dy 0.8883 0.8883 0.8883
Ga1 Ga 0.0000 0.0000 0.0000
Co1 Co 0.5000 0.5000 0.5000
```

## Properties
* Fermi-level density of states: 1.45 states/eV per cell
* electronic total energy: -4.761 eV/atom
* energy relative to the elements: 0.07 eV per atom
* distance to the lowest polymorph of the same formula: 0.476 eV per atom

Entry from Alexandria: a geometry-optimized RbMnBi2Br structure (PBE).

```
data_RbMnBi2Br
_chemical_formula_sum 'Rb1 Mn1 Bi2 Br1'
_space_group_name_H-M_alt 'P 1'
_space_group_IT_number 1
_cell_length_a 6.1876
_cell_length_b 6.1876
_cell_length_c 4.9088
_cell_angle_alpha 90.00
_cell_angle_beta 90.00
_cell_angle_gamma 90.00
loop_
_space_group_symop_operation_xyz
'x,y,z'
loop_
_atom_site_label
_atom_site_type_symbol
_atom_site_fract_x
_atom_site_fract_y
_atom_site_fract_z
Rb1 Rb 0.0000 0.0000 0.0000
Mn1 Mn 0.5000 0.5000 0.0000
Bi1 Bi 0.0000 0.5000 0.5000
Bi2 Bi 0.5000 0.0000 0.5000
Br1 Br 0.5000 0.5000 0.5000
```

## Properties
* formation energy (no corrections): 487 meV per atom
* Fermi-level density of states: 4.28 states/eV per cell
* electronic total energy: -3.427 eV/atom

Entry from Alexandria: a geometry-optimized YZr2Te structure (PBE).

```
data_YZr2Te
_chemical_formula_sum 'Y1 Zr2 Te1'
_space_group_name_H-M_alt 'P 1'
_space_group_IT_number 1
_cell_length_a 5.6283
_cell_length_b 5.6283
_cell_length_c 5.3756
_cell_angle_alpha 102.37
_cell_angle_beta 102.37
_cell_angle_gamma 36.60
loop_
_space_group_symop_operation_xyz
'x,y,z'
loop_
_atom_site_label
_atom_site_type_symbol
_atom_site_fract_x
_atom_site_fract_y
_atom_site_fract_z
Y1 Y 0.0000 0.0000 0.0000
Zr1 Zr 0.2341 0.2341 0.7273
Zr2 Zr 0.7659 0.7659 0.2727
Te1 Te 0.5000 0.5000 0.5000
```

## Properties
* formation energy (no corrections): -328 meV per atom
* Fermi-level density of states: 4.83 states/eV per cell
* electronic total energy: -7.003 eV/atom

Entry from Alexandria: a geometry-optimized RbU2RhSe4 structure (PBE).

```
data_RbU2RhSe4
_chemical_formula_sum 'Rb2 U4 Rh2 Se8'
_space_group_name_H-M_alt 'P 1'
_space_group_IT_number 1
_cell_length_a 7.5653
_cell_length_b 7.5653
_cell_length_c 14.2775
_cell_angle_alpha 90.00
_cell_angle_beta 90.00
_cell_angle_gamma 149.00
loop_
_space_group_symop_operation_xyz
'x,y,z'
loop_
_atom_site_label
_atom_site_type_symbol
_atom_site_fract_x
_atom_site_fract_y
_atom_site_fract_z
Rb1 Rb 0.1095 0.8905 0.7500
Rb2 Rb 0.8905 0.1095 0.2500
U1 U 0.3658 0.6342 0.5662
U2 U 0.3658 0.6342 0.9338
U3 U 0.6342 0.3658 0.0662
U4 U 0.6342 0.3658 0.4338
Rh1 Rh 0.1631 0.8369 0.2500
Rh2 Rh 0.8369 0.1631 0.7500
Se1 Se 0.0000 0.0000 0.0000
Se2 Se 0.0000 0.0000 0.5000
Se3 Se 0.2661 0.7339 0.1075
Se4 Se 0.2661 0.7339 0.3925
Se5 Se 0.4336 0.5664 0.7500
Se6 Se 0.5664 0.4336 0.2500
Se7 Se 0.7339 0.2661 0.6075
Se8 Se 0.7339 0.2661 0.8925
```

## Properties
* formation energy (no corrections): -1022 meV per atom
* Fermi-level density of states: 26.22 states/eV per cell
* electronic total energy: -6.626 eV/atom